(1)
# AcEuIn (PBE, relaxed)
# Magnetic moment   2.484 μB/atom
# E_form   -170.1 meV per atom
# Density   6.6 Mg/m³
data_AcEuIn
_space_group_name_H-M_alt 'F -4 3 m'
_space_group_IT_number 216
_space_group_name_Hall 'F -4 2 3'
_cell_length_a 7.923
_cell_length_b 7.923
_cell_length_c 7.923
_cell_angle_alpha 90.00
_cell_angle_beta 90.00
_cell_angle_gamma 90.00
loop_
_atom_site_label
_atom_site_type_symbol
_atom_site_fract_x
_atom_site_fract_y
_atom_site_fract_z
Ac1 Ac 0.000 0.000 0.000
Eu1 Eu 0.000 0.000 0.500
In1 In 0.250 0.250 0.750



(2)
# NiPt4Rh6 (PBE, relaxed)
# Magnetic moment   0.188 μB/atom
# E_form   234.8 meV per atom
# Density   14.4 Mg/m³
data_NiPt4Rh6
_space_group_name_H-M_alt 'C m c m'
_space_group_IT_number 63
_space_group_name_Hall '-C 2c 2'
_cell_length_a 4.621
_cell_length_b 7.115
_cell_length_c 20.418
_cell_angle_alpha 90.00
_cell_angle_beta 90.00
_cell_angle_gamma 90.00
loop_
_atom_site_label
_atom_site_type_symbol
_atom_site_fract_x
_atom_site_fract_y
_atom_site_fract_z
Ni1 Ni 0.000 0.240 0.250
Pt1 Pt 0.000 0.070 0.628
Pt2 Pt 0.000 0.360 0.544
Rh1 Rh 0.000 0.000 0.000
Rh2 Rh 0.000 0.113 0.750
Rh3 Rh 0.000 0.283 0.093
Rh4 Rh 0.000 0.434 0.684



(3)
# TbYPuN3 (PBE, relaxed)
# Magnetic moment   0.000 μB/atom
# Formation energy without anion corrections   -1.0453 eV per atom
# Density   8.4 Mg/m³
data_TbYPuN3
_space_group_name_H-M_alt 'P 1 21/m 1'
_space_group_IT_number 11
_space_group_name_Hall '-P 2yb'
_cell_length_a 6.999
_cell_length_b 3.588
_cell_length_c 8.441
_cell_angle_alpha 90.00
_cell_angle_beta 96.33
_cell_angle_gamma 90.00
loop_
_atom_site_label
_atom_site_type_symbol
_atom_site_fract_x
_atom_site_fract_y
_atom_site_fract_z
Tb1 Tb 0.157 0.250 0.131
Y1 Y 0.374 0.750 0.845
Pu1 Pu 0.054 0.250 0.582
N1 N 0.097 0.250 0.851
N2 N 0.229 0.750 0.579
N3 N 0.386 0.750 0.123